Entry from Alexandria: a relaxed TiMnTc2H crystal (GGA-PBE).

POSCAR file:
```
TiMnTc2H
1.0
4.211 0.000 0.000
0.000 4.211 0.000
0.000 0.000 3.339
Tc H Ti Mn
2 1 1 1
direct
0.000 0.500 0.000
0.500 0.000 0.000
0.000 0.000 0.000
0.500 0.500 0.500
0.000 0.000 0.500
```

Values from the calculation:
V ... 11.84 A^3/atom
VASP energy ... -41.810 eV/cell
DOS at the Fermi energy ... 3.43 states/eV/cell